Record 1
Compound: FeSbSe2
Source: Alexandria
Functional: PBE
Structure: optimized geometry

POSCAR file:
```
FeSbSe2
1.0
-1.826 -0.049 -4.479
-2.599 -2.720 3.040
-4.505 1.790 0.172
Fe Sb Se
1 1 2
direct
0.500 0.000 0.500
0.000 0.500 0.500
0.000 0.000 0.000
0.500 0.500 0.000
```

Values from the calculation:
- Raw total energy: -18.68 eV for the cell shown
- Size of the total moment: 3.011 μB/f.u.
- N(E_F): 5.93 states/eV/cell
- Uncorrected formation energy: 0.22 eV/atom

Record 2
Compound: CaSbP
Source: Alexandria
Functional: PBE
Structure: optimized geometry

POSCAR file:
```
CaSbP
1.0
-0.578 3.773 1.734
-3.610 -1.203 1.414
3.409 -9.443 6.489
Sb Ca P
2 2 2
direct
0.472 0.704 0.124
0.249 0.613 0.309
0.624 0.986 0.562
0.084 0.331 0.871
0.432 0.880 0.775
0.277 0.439 0.658
```

Values from the calculation:
- Raw total energy: -26.43 eV for the cell shown
- ΔE to the lowest computed polymorph: 0.0 meV/atom
- Size of the total moment: 0.000 μB/f.u.
- N(E_F): 0.63 states/eV/cell
- Uncorrected formation energy: -0.56 eV/atom

Record 3
Compound: TlTeAs2
Source: Alexandria
Functional: PBE
Structure: optimized geometry

POSCAR file:
```
TlTeAs2
1.0
3.650 0.000 0.000
0.000 3.101 0.169
0.000 0.994 10.326
Tl Te As
1 1 2
direct
0.500 0.804 0.752
0.000 0.426 0.517
0.000 0.176 0.033
0.500 0.094 0.197
```

Values from the calculation:
- Raw total energy: -14.53 eV for the cell shown
- ΔE to the lowest computed polymorph: 55.9 meV/atom
- Size of the total moment: 0.000 μB/f.u.
- N(E_F): 1.11 states/eV/cell
- Uncorrected formation energy: 0.07 eV/atom

Record 4
Compound: LiCd2In4
Source: Alexandria
Functional: PBE
Structure: optimized geometry

POSCAR file:
```
LiCd2In4
1.0
3.282 0.000 0.463
1.609 2.861 0.463
-0.939 -0.549 18.509
Li Cd In
1 2 4
direct
0.000 0.000 0.000
0.239 0.239 0.282
0.761 0.761 0.718
0.708 0.708 0.876
0.292 0.292 0.124
0.142 0.142 0.574
0.858 0.858 0.426
```

Values from the calculation:
- Raw total energy: -14.74 eV for the cell shown
- ΔE to the lowest computed polymorph: 15.4 meV/atom
- Size of the total moment: 0.000 μB/f.u.
- N(E_F): 2.88 states/eV/cell

Record 5
Compound: RhPb2Se
Source: Alexandria
Functional: PBE
Structure: optimized geometry

POSCAR file:
```
RhPb2Se
1.0
7.617 -0.029 -0.018
6.613 3.780 -0.018
6.613 1.743 3.354
Pb Rh Se
2 1 1
direct
0.991 0.991 0.991
0.509 0.509 0.509
0.250 0.250 0.250
0.750 0.750 0.750
```

Values from the calculation:
- Raw total energy: -18.44 eV for the cell shown
- Size of the total moment: 0.000 μB/f.u.
- N(E_F): 1.69 states/eV/cell
- Uncorrected formation energy: -0.05 eV/atom

Record 6
Compound: LaBi2Pd2
Source: Alexandria
Functional: PBE
Structure: optimized geometry

POSCAR file:
```
LaBi2Pd2
1.0
4.769 0.000 0.000
0.000 4.769 0.000
2.385 2.385 5.674
Bi Pd La
2 2 1
direct
0.367 0.367 0.265
0.633 0.633 0.735
0.750 0.250 0.500
0.250 0.750 0.500
0.000 0.000 0.000
```

Values from the calculation:
- Raw total energy: -25.91 eV for the cell shown
- Size of the total moment: 0.000 μB/f.u.
- N(E_F): 2.28 states/eV/cell

Record 7
Compound: PrDy3Pt8
Source: Alexandria
Functional: PBE
Structure: optimized geometry

POSCAR file:
```
PrDy3Pt8
1.0
-3.136 0.271 4.481
0.803 -4.809 -2.493
7.181 -1.452 5.114
Pr Dy Pt
1 3 8
direct
0.000 0.000 0.567
0.667 0.333 0.429
0.667 0.333 0.063
0.000 0.000 0.940
0.333 0.667 0.500
0.333 0.667 0.999
0.503 0.005 0.753
0.503 0.497 0.753
0.995 0.497 0.753
0.165 0.329 0.248
0.165 0.835 0.248
0.671 0.835 0.248
```

Values from the calculation:
- Raw total energy: -79.46 eV for the cell shown
- Size of the total moment: 0.000 μB/f.u.
- N(E_F): 5.33 states/eV/cell

Record 8
Compound: TbZr2Tl
Source: Alexandria
Functional: PBE
Structure: optimized geometry

POSCAR file:
```
TbZr2Tl
1.0
-2.805 -0.292 1.782
1.440 -2.347 1.883
2.943 6.357 5.673
Tl Tb Zr
1 1 2
direct
0.500 0.500 0.500
0.500 0.500 0.000
0.000 0.000 0.734
0.000 0.000 0.266
```

Values from the calculation:
- Raw total energy: -23.88 eV for the cell shown
- ΔE to the lowest computed polymorph: 121.1 meV/atom
- Size of the total moment: 0.000 μB/f.u.
- N(E_F): 4.88 states/eV/cell

Record 9
Compound: La2CoCu
Source: Alexandria
Functional: PBE
Structure: optimized geometry

POSCAR file:
```
La2CoCu
1.0
7.559 0.000 0.000
0.000 7.559 0.000
3.779 3.779 3.404
Co Cu La
2 2 4
direct
0.500 0.500 0.000
0.250 0.750 0.500
0.000 0.000 0.000
0.750 0.250 0.500
0.589 0.125 0.250
0.161 0.625 0.250
0.375 0.411 0.750
0.875 0.839 0.750
```

Values from the calculation:
- Raw total energy: -40.78 eV for the cell shown
- Size of the total moment: 0.000 μB/f.u.
- N(E_F): 9.66 states/eV/cell

Record 10
Compound: Tl2CdInBr5
Source: Alexandria
Functional: PBE
Structure: optimized geometry

POSCAR file:
```
Tl2CdInBr5
1.0
-1.376 -4.897 1.761
-1.693 -2.136 -7.262
9.045 1.039 1.728
Tl Cd In Br
2 1 1 5
direct
0.205 0.205 0.411
0.795 0.795 0.589
0.500 0.000 0.000
0.000 0.500 0.000
0.626 0.872 0.251
0.374 0.128 0.749
0.374 0.621 0.749
0.626 0.379 0.251
0.000 0.000 0.000
```

Values from the calculation:
- Raw total energy: -23.55 eV for the cell shown
- Size of the total moment: 0.000 μB/f.u.
- N(E_F): 0.00 states/eV/cell
- Uncorrected formation energy: -0.76 eV/atom